Run P
This record from Alexandria via LeMat-Bulk describes Na2TlSbH after structural relaxation. The functional is PBE.

The structure belongs to space group P4/mmm (No. 123); the cell edges are 5.1520, 5.1520 and 4.3210 Å and the angles 90.00°, 90.00° and 90.00°. Symmetry generates all atoms from Na at (0.0000, 0.5000, 0.0000), Tl at (0.0000, 0.0000, 0.5000), Sb at (0.5000, 0.5000, 0.5000) and H at (0.5000, 0.5000, 0.0000).

Run Q
This record from Alexandria via LeMat-Bulk describes Na2TlSbH after structural relaxation. The functional is PBE.

The structure belongs to space group P4/mmm (No. 123); the cell edges are 4.6150, 4.6150 and 5.2085 Å and the angles 90.00°, 90.00° and 90.00°. Symmetry generates all atoms from Na at (0.0000, 0.5000, 0.0000), Tl at (0.0000, 0.0000, 0.5000), Sb at (0.5000, 0.5000, 0.5000) and H at (0.0000, 0.0000, 0.0000).

What should be chosen as the least stable of them? Choose run P.

Run P
This record from Alexandria via LeMat-Bulk describes NaTl2SbH after structural relaxation. The functional is PBE.

The structure belongs to space group P4/mmm (No. 123); the cell edges are 5.0635, 5.0635 and 4.6563 Å and the angles 90.00°, 90.00° and 90.00°. Symmetry generates all atoms from Na at (0.0000, 0.0000, 0.0000), Tl at (0.0000, 0.5000, 0.5000), Sb at (0.5000, 0.5000, 0.0000) and H at (0.0000, 0.0000, 0.5000).

Run Q
This record from Alexandria via LeMat-Bulk describes NaTl2SbH after structural relaxation. The functional is PBE.

The structure belongs to space group P4/mmm (No. 123); the cell edges are 5.3196, 5.3196 and 4.3803 Å and the angles 90.00°, 90.00° and 90.00°. Symmetry generates all atoms from Na at (0.0000, 0.0000, 0.0000), Tl at (0.0000, 0.5000, 0.5000), Sb at (0.5000, 0.5000, 0.0000) and H at (0.5000, 0.5000, 0.5000).

What should be chosen as the least stable of them? Choose run Q.

Run P
This record from Alexandria via LeMat-Bulk describes NaSc2H after structural relaxation. The functional is PBE.

The structure belongs to space group R-3m (No. 166, hexagonal axes); the cell edges are 3.2822, 3.2822 and 26.8737 Å and the angles 90.00°, 90.00° and 120.00°. Symmetry generates all atoms from Na at (0.0000, 0.0000, 0.0000), Sc at (0.0000, 0.0000, 0.1222) and H at (0.0000, 0.0000, 0.5000).

Run Q
This record from Alexandria via LeMat-Bulk describes NaSc2H after structural relaxation. The functional is PBE.

The structure belongs to space group Fm-3m (No. 225); the cell edges are 6.9130, 6.9130 and 6.9130 Å and the angles 90.00°, 90.00° and 90.00°. Symmetry generates all atoms from Na at (0.0000, 0.0000, 0.0000), Sc at (0.2500, 0.2500, 0.2500) and H at (0.0000, 0.0000, 0.5000).

Run R
This record from Alexandria via LeMat-Bulk describes NaSc2H after structural relaxation. The functional is PBE.

The structure belongs to space group I-42d (No. 122); the cell edges are 6.5383, 6.5383 and 7.6820 Å and the angles 90.00°, 90.00° and 90.00°. Symmetry generates all atoms from Na at (0.0000, 0.0000, 0.0000), Sc at (0.1046, 0.2500, 0.6250) and H at (0.0000, 0.0000, 0.5000).

What should be chosen as the least stable of them? Choose run Q.

Run P
This record from Alexandria via LeMat-Bulk describes NaScH2 after structural relaxation. The functional is PBE.

The structure belongs to space group I-42d (No. 122); the cell edges are 5.0090, 5.0090 and 10.1539 Å and the angles 90.00°, 90.00° and 90.00°. Symmetry generates all atoms from Na at (0.0000, 0.0000, 0.0000), Sc at (0.0000, 0.0000, 0.5000) and H at (0.1396, 0.2500, 0.6250).

Run Q
This record from Alexandria via LeMat-Bulk describes NaScH2 after structural relaxation. The functional is PBE.

The structure belongs to space group Fm-3m (No. 225); the cell edges are 5.7092, 5.7092 and 5.7092 Å and the angles 90.00°, 90.00° and 90.00°. Symmetry generates all atoms from Na at (0.0000, 0.0000, 0.0000), Sc at (0.0000, 0.0000, 0.5000) and H at (0.2500, 0.2500, 0.2500).

What should be chosen as the least stable of them? Choose run Q.

Run P
This record from Alexandria via LeMat-Bulk describes NaHSe2 after structural relaxation. The functional is PBE.

The structure belongs to space group R-3m (No. 166, hexagonal axes); the cell edges are 3.4265, 3.4265 and 23.4110 Å and the angles 90.00°, 90.00° and 120.00°. Symmetry generates all atoms from Na at (0.0000, 0.0000, 0.0000), H at (0.0000, 0.0000, 0.5000) and Se at (0.0000, 0.0000, 0.4252).

Run Q
This record from Alexandria via LeMat-Bulk describes NaHSe2 after structural relaxation. The functional is PBE.

The structure belongs to space group P1 (No. 1); the cell edges are 5.3566, 5.3620 and 7.7008 Å and the angles 92.82°, 92.75° and 107.22°. Symmetry generates all atoms from Na at (0.0000, 0.0000, 0.0000), Na at (0.2662, 0.7309, 0.5004), H at (0.5677, 0.3307, 0.2187), H at (0.5977, 0.3007, 0.7182), Se at (0.1290, 0.5500, 0.1373), Se at (0.5340, 0.4668, 0.0581), Se at (0.7340, 0.2656, 0.5578) and Se at (0.8158, 0.8609, 0.6377).

What should be chosen as the least stable of them? Choose run P.

Run P
This record from Alexandria via LeMat-Bulk describes NaHSe2 after structural relaxation. The functional is PBE.

The structure belongs to space group Fm-3m (No. 225); the cell edges are 6.6166, 6.6166 and 6.6166 Å and the angles 90.00°, 90.00° and 90.00°. Symmetry generates all atoms from Na at (0.0000, 0.0000, 0.0000), H at (0.0000, 0.0000, 0.5000) and Se at (0.2500, 0.2500, 0.2500).

Run Q
This record from Alexandria via LeMat-Bulk describes NaHSe2 after structural relaxation. The functional is PBE.

The structure belongs to space group I-42d (No. 122); the cell edges are 5.0839, 5.0839 and 13.2433 Å and the angles 90.00°, 90.00° and 90.00°. Symmetry generates all atoms from Na at (0.0000, 0.0000, 0.0000), H at (0.0000, 0.0000, 0.5000) and Se at (0.0674, 0.2500, 0.6250).

What should be chosen as the least stable of them? Choose run P.